Record 1
{
  "formula": "CsNa3Rh",
  "functional": "GGA-PBE",
  "state": "relaxed",
  "cell": [[5.691, 0.000, 0.000], [0.000, 5.691, 0.000], [0.000, 0.000, 5.691]],
  "species": ["Cs", "Na", "Na", "Na", "Rh"],
  "fractional_positions": [[0.500, 0.500, 0.500], [0.000, 0.500, 0.000], [0.000, 0.000, 0.500], [0.500, 0.000, 0.000], [0.000, 0.000, 0.000]],
  "e_form_ev_per_atom": 0.345,
  "n_ef_per_ev_fu": 3.58,
  "energy_ev_per_atom": -2.09,
  "magmom_total_mub_per_cell": 0.00
}


Record 2
{
  "formula": "FeOs3",
  "functional": "GGA-PBE",
  "state": "relaxed",
  "cell": [[-4.003, 2.490, 1.077], [-1.495, -0.424, -4.579], [-2.263, -4.124, 1.121]],
  "species": ["Fe", "Fe", "Os", "Os", "Os", "Os", "Os", "Os"],
  "fractional_positions": [[0.000, 0.000, 0.000], [0.500, 0.500, 0.500], [0.250, 0.500, 0.000], [0.750, 0.500, 0.000], [0.000, 0.250, 0.500], [0.000, 0.750, 0.500], [0.500, 0.000, 0.250], [0.500, 0.000, 0.750]],
  "e_form_ev_per_atom": 0.549,
  "n_ef_per_ev_fu": 3.67,
  "energy_ev_per_atom": -9.99,
  "magmom_total_mub_per_cell": 4.40
}